Computed, not measured: BeBr3 after structural relaxation at the PBE level of DFT. Values from VASP.

Results
**Calculated volume**: 118 Å³ per cell
**Size of the total moment**: 0.000 μB per cell
**Uncorrected formation energy**: -0.20 eV/atom
**Total energy**: -9.53 eV per cell

Structure (Quantum ESPRESSO input):
```
&SYSTEM
  ibrav = 0, nat = 4, ntyp = 2
/
ATOMIC_SPECIES
Br 79.90 Br.upf
Be 9.01 Be.upf
ATOMIC_POSITIONS crystal
Br 0.000 0.500 0.184
Br 0.500 0.000 0.527
Br 0.500 0.500 0.913
Be 0.000 0.000 0.043
CELL_PARAMETERS angstrom
-1.631 -1.579 2.688
1.000 -2.786 -1.029
8.853 0.981 5.949
```

Computed, not measured: ReTcHg2 after structural relaxation at the PBE level of DFT. Values from VASP.

Results
**Calculated volume**: 70 Å³ per cell
**Size of the total moment**: 0.278 μB per cell
**Total energy**: -19.44 eV per cell
**Energy relative to the elements**: 0.99 eV/atom

Structure (Quantum ESPRESSO input):
```
&SYSTEM
  ibrav = 0, nat = 4, ntyp = 3
/
ATOMIC_SPECIES
Re 186.21 Re.upf
Hg 200.59 Hg.upf
Tc 98.00 Tc.upf
ATOMIC_POSITIONS crystal
Re 0.250 0.750 0.500
Hg 0.500 0.500 0.000
Hg 0.000 0.000 0.000
Tc 0.750 0.250 0.500
CELL_PARAMETERS angstrom
5.288 0.033 0.000
2.285 4.769 0.000
-3.786 -2.401 2.804
```

Computed, not measured: CaPb2Br after structural relaxation at the PBE level of DFT. Values from VASP.

Results
**Calculated volume**: 123 Å³ per cell
**Size of the total moment**: 0.000 μB per cell
**Uncorrected formation energy**: -0.52 eV/atom
**Total energy**: -13.18 eV per cell

Structure (Quantum ESPRESSO input):
```
&SYSTEM
  ibrav = 0, nat = 4, ntyp = 3
/
ATOMIC_SPECIES
Pb 207.20 Pb.upf
Br 79.90 Br.upf
Ca 40.08 Ca.upf
ATOMIC_POSITIONS crystal
Pb 0.255 0.745 0.500
Pb 0.002 0.998 0.000
Br 0.463 0.537 0.000
Ca 0.780 0.220 0.500
CELL_PARAMETERS angstrom
5.619 -0.105 -0.267
-0.055 5.619 -0.267
-2.970 -2.944 4.188
```

no.,energy relative to the lowest polymorph listed for this composition (eV per formula unit)
1,1.23
2,2.70
3,0.84